Density functional theory data (PBE) for a geometry-optimized Ac4DyMg structure.

Geometry as POSCAR:
```
Ac4DyMg
1.0
3.964 0.000 0.000
0.000 3.964 0.000
0.000 0.000 14.996
Ac Dy Mg
4 1 1
direct
0.500 0.500 0.166
0.000 0.000 0.648
0.000 0.000 0.352
0.500 0.500 0.834
0.000 0.000 0.000
0.500 0.500 0.500
```

Output
DFT total energy = -3.767 eV per atom
SG = P4/mmm, No. 123